# 1
Below is Sr2BeS after structural relaxation, with properties calculated at the PBEsol level.

```
Sr2BeS
1.0
-3.9297 3.9297 4.0358
3.9297 -3.9297 4.0358
3.9297 3.9297 -4.0358
Sr Be S
4 2 2
direct
0.1006 0.1250 0.4756
0.3750 0.8994 0.0244
0.6494 0.6250 0.5244
0.8750 0.3506 0.9756
0.2500 0.7500 0.5000
0.5000 0.5000 0.0000
0.0000 0.0000 0.0000
0.7500 0.2500 0.5000
```

Computed properties:
For the uncorrected formation energy, the calculation gives -0.3825 eV/atom. Its space group is I-42d, No. 122.

# 2
Below is Ta2BeS after structural relaxation, with properties calculated at the PBEsol level.

```
Ta2BeS
1.0
-2.5428 2.5428 5.6774
2.5428 -2.5428 5.6774
2.5428 2.5428 -5.6774
Ta Be S
4 2 2
direct
0.0885 0.6250 0.9635
0.3750 0.3385 0.4635
0.6615 0.1250 0.0365
0.8750 0.9115 0.5365
0.0000 0.0000 0.0000
0.7500 0.2500 0.5000
0.2500 0.7500 0.5000
0.5000 0.5000 0.0000
```

Computed properties:
For the uncorrected formation energy, the calculation gives 0.6946 eV/atom. Its space group is I-42d, No. 122.